## GaNiTe2O6 (PBE with a Hubbard U)

Data for crystalline GaNiTe2O6 at its relaxed geometry.

The value obtained for the density is 5.6 g/cm³. For the total energy, the calculation gives -5.16 eV per atom. As for the crystal system: monoclinic.

The space group is C2/c (No. 15) and the conventional cell measures 9.973, 11.291 and 5.293 Å, with angles of 90.00, 106.14 and 90.00 degrees. Symmetry generates all atoms from Ga at (0.000, 0.180, 0.250), Ni at (0.000, 0.082, 0.750), Te at (0.163, 0.383, 0.777), O at (0.096, 0.222, 0.587), O at (0.116, 0.069, 0.133) and O at (0.143, 0.443, 0.435).